Entry 1:
An optimized crystal structure of LaTl2Ir, computed with PBE.

Summary:
For the formation energy, the calculation gives -0.034 eV/atom. The space group is I-42d.

a = 4.272 Å, b = 4.272 Å, c = 12.044 Å
α = 79.78°, β = 79.78°, γ = 90.00°
Element x y z (fractional)
Tl 0.640 0.125 0.250
Tl 0.110 0.625 0.250
Tl 0.375 0.360 0.750
Tl 0.875 0.890 0.750
Ir 0.000 0.000 0.000
Ir 0.750 0.250 0.500
La 0.500 0.500 0.000
La 0.250 0.750 0.500



Entry 2:
An optimized crystal structure of La3Sm3YS8, computed with PBE.

Summary:
The value obtained for the formation energy (no corrections) is -2112 meV/atom. The space group is R-3m.

a = 8.083 Å, b = 8.083 Å, c = 8.179 Å
α = 119.61°, β = 90.00°, γ = 120.00°
Element x y z (fractional)
La 0.000 0.000 0.000
La 0.000 0.500 0.000
La 0.500 0.500 0.000
Sm 0.500 0.000 0.500
Sm 0.500 0.500 0.500
Sm 0.000 0.500 0.500
Y 0.000 0.000 0.500
S 0.253 0.507 0.260
S 0.747 0.493 0.740
S 0.758 0.515 0.264
S 0.242 0.485 0.736
S 0.758 0.007 0.264
S 0.242 0.993 0.736
S 0.249 0.007 0.264
S 0.751 0.993 0.736